[1]
Compound: TiHIr2Os
Source: Alexandria via LeMat-Bulk
Functional: PBE
Structure: optimized geometry

As for the polymorph energy (0 for the lowest one): 0.00 eV per formula unit. As for the space group: P4/mmm (123).

```
5
Lattice="3.885 0.000 0.000 0.000 3.885 0.000 0.000 0.000 3.997" Properties=species:S:1:pos:R:3 pbc="T T T"
H 0.000 0.000 0.000
Ir 0.000 1.942 0.000
Ir 1.942 0.000 0.000
Os 1.942 1.942 1.999
Ti 0.000 0.000 1.999
```

***

[2]
Compound: Nd3ZnS6
Source: Alexandria via LeMat-Bulk
Functional: PBE
Structure: optimized geometry

The formation energy from raw total energies comes out at -1.6007 eV/atom. As for the space group: Cmc2_1 (36).

```
20
Lattice="-1.564 5.058 -3.532 -8.703 -1.818 1.250 1.836 5.406 6.929" Properties=species:S:1:pos:R:3 pbc="T T T"
Nd -7.513 4.591 4.430
Nd -6.047 8.661 3.875
Nd -2.846 4.652 3.330
Nd -6.056 5.516 0.255
Nd -1.629 6.353 -1.386
Nd -3.095 2.283 -0.832
Zn -0.263 4.136 5.725
Zn -7.472 2.259 0.495
S -5.012 3.211 4.627
S -5.434 5.987 3.055
S -2.381 5.079 6.119
S -8.160 4.182 1.660
S 1.192 5.987 6.135
S -1.526 7.203 3.319
S -6.652 0.623 1.901
S -9.363 1.816 -0.898
S -0.092 3.883 3.393
S -5.871 2.987 -1.066
S -2.813 2.063 2.009
S -3.236 4.839 0.437
```

***

[3]
Compound: CsSc2TlI8
Source: Alexandria via LeMat-Bulk
Functional: PBE
Structure: optimized geometry

The formation energy from raw total energies comes out at -1.1487 eV/atom. As for the space group: R-3 (148).

```
12
Lattice="-7.466 1.999 1.871 -5.509 0.585 -5.706 -6.899 -10.031 0.090" Properties=species:S:1:pos:R:3 pbc="T T T"
Cs -9.937 -3.723 -1.873
Sc -4.991 -1.957 -0.924
Sc -14.883 -5.489 -2.821
Tl 0.000 0.000 0.000
I -5.608 -4.567 -0.596
I -7.295 -0.518 -0.610
I -14.266 -2.880 -3.149
I -11.437 0.340 -1.573
I -8.437 -7.786 -2.172
I -8.650 -0.715 -4.726
I -11.224 -6.732 0.981
I -12.579 -6.928 -3.135
```

***

no.,E_tot (eV per atom)
1,-8.3880
2,-5.6349
3,-3.5057